No. 1
Here is an optimized crystal structure of Lu4NiBi2 from Alexandria via LeMat-Bulk. Energies are from PBE.

The value obtained for the formation enthalpy at 0 K is -0.4750 eV per atom. The value obtained for the total magnetization is 0.000 μB per formula unit.

Cell: 8.783 8.783 8.783 Å, 147.34 147.34 46.87°
Fractional positions:
Lu  0.000  0.500  0.500
Lu  0.165  0.165  0.000
Lu  0.500  0.000  0.500
Lu  0.835  0.835  0.000
Ni  0.000  0.000  0.000
Bi  0.357  0.357  0.000
Bi  0.643  0.643  0.000


No. 2
Here is an optimized crystal structure of KCdAgAu from Alexandria via LeMat-Bulk. Energies are from PBE.

The value obtained for the formation enthalpy at 0 K is -0.1645 eV per atom. The value obtained for the total magnetization is 0.000 μB per formula unit.

Cell: 4.885 4.885 6.468 Å, 112.06 112.06 60.07°
Fractional positions:
K  0.000  0.000  0.000
Cd  0.503  0.503  0.510
Ag  0.815  0.815  0.446
Au  0.185  0.185  0.556


No. 3
Here is an optimized crystal structure of HgTe2Se2 from Alexandria via LeMat-Bulk. Energies are from PBE.

The calculation puts the energy relative to the lowest polymorph listed for this composition at 156 meV per atom. The value obtained for the total magnetization is 0.000 μB per formula unit. The value obtained for the uncorrected formation energy is 0.2173 eV per atom.

Cell: 9.056 9.056 3.571 Å, 90.00 90.00 90.00°
Fractional positions:
Hg  0.000  0.000  0.000
Hg  0.500  0.500  0.000
Te  0.132  0.368  0.500
Te  0.368  0.868  0.500
Te  0.632  0.132  0.500
Te  0.868  0.632  0.500
Se  0.211  0.711  0.000
Se  0.289  0.211  0.000
Se  0.711  0.789  0.000
Se  0.789  0.289  0.000


No. 4
Here is an optimized crystal structure of NaMgPb3 from Alexandria via LeMat-Bulk. Energies are from PBE.

The value obtained for the formation enthalpy at 0 K is 0.1885 eV per atom. The calculation puts the energy relative to the lowest polymorph listed for this composition at 272 meV per atom. The value obtained for the total magnetization is 0.000 μB per formula unit.

Cell: 5.610 5.610 5.610 Å, 90.00 90.00 90.00°
Fractional positions:
Na  0.000  0.000  0.000
Mg  0.500  0.500  0.500
Pb  0.000  0.500  0.500
Pb  0.500  0.000  0.500
Pb  0.500  0.500  0.000


No. 5
Here is an optimized crystal structure of CdInAg2 from Alexandria via LeMat-Bulk. Energies are from PBE.

The value obtained for the formation enthalpy at 0 K is 0.0064 eV per atom. The value obtained for the total magnetization is 0.000 μB per formula unit.

Cell: 5.781 5.781 5.781 Å, 146.00 130.75 61.20°
Fractional positions:
Cd  0.000  0.000  0.000
In  0.268  0.768  0.500
Ag  0.516  0.516  0.000
Ag  0.752  0.252  0.500


No. 6
Here is an optimized crystal structure of RbBaCrCl6 from Alexandria via LeMat-Bulk. Energies are from PBE.

The value obtained for the total magnetization is 3.000 μB per formula unit. The value obtained for the uncorrected formation energy is -1.7589 eV per atom.

Cell: 7.384 7.384 13.003 Å, 90.00 90.00 120.00°
Fractional positions:
Rb  0.000  0.000  0.000
Rb  0.000  0.000  0.500
Ba  0.333  0.667  0.250
Ba  0.667  0.333  0.750
Cr  0.333  0.667  0.750
Cr  0.667  0.333  0.250
Cl  0.071  0.406  0.643
Cl  0.071  0.665  0.857
Cl  0.335  0.406  0.857
Cl  0.335  0.929  0.643
Cl  0.406  0.071  0.143
Cl  0.406  0.335  0.357
Cl  0.594  0.665  0.643
Cl  0.594  0.929  0.857
Cl  0.665  0.071  0.357
Cl  0.665  0.594  0.143
Cl  0.929  0.335  0.143
Cl  0.929  0.594  0.357


No. 7
Here is an optimized crystal structure of PRh3 from Alexandria via LeMat-Bulk. Energies are from PBE.

The value obtained for the formation enthalpy at 0 K is -0.2760 eV per atom. The value obtained for the total magnetization is 0.000 μB per formula unit.

Cell: 7.475 7.475 3.024 Å, 90.00 90.00 136.10°
Fractional positions:
P  0.145  0.855  0.750
P  0.855  0.145  0.250
Rh  0.182  0.347  0.750
Rh  0.271  0.729  0.250
Rh  0.347  0.182  0.250
Rh  0.653  0.818  0.750
Rh  0.729  0.271  0.750
Rh  0.818  0.653  0.250


No. 8
Here is an optimized crystal structure of NdGa4Ni4 from Alexandria via LeMat-Bulk. Energies are from PBE.

The value obtained for the formation enthalpy at 0 K is -0.3005 eV per atom. The value obtained for the total magnetization is 0.000 μB per formula unit.

Cell: 6.216 6.216 6.216 Å, 97.53 97.53 137.56°
Fractional positions:
Nd  0.000  0.000  0.000
Ga  0.117  0.608  0.725
Ga  0.392  0.117  0.509
Ga  0.608  0.883  0.491
Ga  0.883  0.392  0.275
Ni  0.189  0.316  0.505
Ni  0.316  0.811  0.127
Ni  0.684  0.189  0.873
Ni  0.811  0.684  0.495